[1]
# NdScS3

A relaxed NdScS3 crystal (GGA-PBEsol, the Alexandria database).

a = 7.1097 Å, b = 9.4464 Å, c = 6.3751 Å
α = 90.00°, β = 90.00°, γ = 90.00°
Closest atoms and distances in Å follow each position.
Space group Pnma (No. 62)
Asymmetric unit:
Nd: 0.1022 0.2500 0.0396  6 S 2.79-2.96
Sc: 0.0000 0.0000 0.5000  6 S 2.51-2.56
S: 0.0352 0.7500 0.3709  2 Sc 2.51, 2 Nd 2.79
S: 0.1855 0.5619 0.8262  2 Sc 2.53-2.56

Properties
**Raw total energy**: -140.78 eV for the cell shown

=====

[2]
# Nd2SiS5

A relaxed Nd2SiS5 crystal (GGA-PBEsol, the Alexandria database).

a = 7.4324 Å, b = 12.3719 Å, c = 7.6864 Å
α = 90.00°, β = 101.23°, γ = 90.00°
Closest atoms and distances in Å follow each position.
Space group P2_1/c (No. 14)
Asymmetric unit:
Nd: 0.1615 0.1653 0.1336  8 S 2.84-3.15
Nd: 0.2384 0.5953 0.0406  8 S 2.77-3.04
Si: 0.3324 0.6167 0.5930  4 S 2.10-2.16
S: 0.1245 0.7047 0.6950  1 Si 2.16
S: 0.1407 0.1205 0.4999  4 Nd 2.77-2.90
S: 0.1710 0.5271 0.3827  1 Si 2.13
S: 0.4230 0.0042 0.2822  1 Si 2.10
S: 0.4704 0.2309 0.9517  1 Si 2.11

Properties
**Raw total energy**: -203.37 eV for the cell shown

=====

[3]
# Nd4Si3S12

A relaxed Nd4Si3S12 crystal (GGA-PBEsol, the Alexandria database).

a = 18.9362 Å, b = 18.9362 Å, c = 7.8417 Å
α = 90.00°, β = 90.00°, γ = 120.00°
Closest atoms and distances in Å follow each position.
Space group R3c (No. 161, hexagonal axes)
Asymmetric unit:
Nd: 0.0000 0.0000 0.0000  6 S 2.83-2.84
Nd: 0.1042 0.4338 0.4590  7 S 2.80-3.00
Si: 0.0138 0.1995 0.3467  4 S 2.12-2.15
S: 0.0032 0.2717 0.1517  1 Si 2.13
S: 0.0466 0.4888 0.1695  1 Si 2.12
S: 0.0613 0.1252 0.2493  1 Si 2.15
S: 0.2010 0.0853 0.4989  1 Si 2.12

Properties
**Raw total energy**: -709.51 eV for the cell shown

=====

[4]
# Nd2SmS4

A relaxed Nd2SmS4 crystal (GGA-PBEsol, the Alexandria database).

a = 8.3967 Å, b = 8.3967 Å, c = 8.4489 Å
α = 90.00°, β = 90.00°, γ = 90.00°
Closest atoms and distances in Å follow each position.
Space group I-42d (No. 122)
Asymmetric unit:
Nd: 0.1214 0.7500 0.1250  8 S 2.85-3.00
Sm: 0.0000 0.0000 0.5000  8 S 2.82-2.98
S: 0.0757 0.6761 0.4527  2 Sm 2.82-2.98, 4 Nd 2.85-3.00

Properties
**Raw total energy**: -190.90 eV for the cell shown

=====

[5]
# SrNd2S4

A relaxed SrNd2S4 crystal (GGA-PBEsol, the Alexandria database).

a = 8.5586 Å, b = 8.5586 Å, c = 8.5545 Å
α = 90.00°, β = 90.00°, γ = 90.00°
Closest atoms and distances in Å follow each position.
Space group I-42d (No. 122)
Asymmetric unit:
Sr: 0.0000 0.0000 0.0000  8 S 2.93-3.07
Nd: 0.1277 0.7500 0.6250  8 S 2.84-3.03
S: 0.0778 0.6713 0.9440  4 Nd 2.84-3.03, 2 Sr 2.93-3.07, 1 S 3.18

Properties
**Raw total energy**: -179.17 eV for the cell shown

=====

[6]
# Nd2ThS5

A relaxed Nd2ThS5 crystal (GGA-PBEsol, the Alexandria database).

a = 11.8551 Å, b = 8.1442 Å, c = 7.4731 Å
α = 90.00°, β = 90.00°, γ = 90.00°
Closest atoms and distances in Å follow each position.
Space group Pnma (No. 62)
Asymmetric unit:
Nd: 0.1779 0.0000 0.0205  8 S 2.85-3.06
Th: 0.0103 0.2500 0.5784  7 S 2.71-2.87
S: 0.0002 0.2500 0.9616  1 Th 2.87, 4 Nd 2.94-2.96
S: 0.0998 0.5458 0.6638  2 Th 2.71-2.78, 2 Nd 2.85-2.87
S: 0.1872 0.2500 0.3264  1 Th 2.82, 4 Nd 2.97-3.06
S: 0.2191 0.7500 0.2978  1 Th 2.87, 4 Nd 2.90-2.95

Properties
**Raw total energy**: -228.83 eV for the cell shown

=====

[7]
# NdTmS3

A relaxed NdTmS3 crystal (GGA-PBEsol, the Alexandria database).

a = 10.8317 Å, b = 3.8933 Å, c = 21.1811 Å
α = 90.00°, β = 101.79°, γ = 90.00°
Closest atoms and distances in Å follow each position.
Space group P2_1/m (No. 11)
Asymmetric unit:
Nd: 0.0891 0.2500 0.3636  7 S 2.79-3.00
Nd: 0.2032 0.2500 0.0376  8 S 2.83-3.07
Nd: 0.3060 0.7500 0.7345  7 S 2.84-2.97
Nd: 0.3065 0.2500 0.2339  8 S 2.87-2.91
Tm: 0.0302 0.2500 0.8526  6 S 2.60-2.75
Tm: 0.1794 0.2500 0.5462  7 S 2.67-2.88
Tm: 0.4461 0.2500 0.9166  6 S 2.57-2.73
Tm: 0.4775 0.7500 0.4123  7 S 2.68-2.86
S: 0.0367 0.2500 0.2288  2 Tm 2.60, 2 Nd 2.79-2.90
S: 0.0583 0.7500 0.9460  2 Tm 2.75, 3 Nd 2.92-2.96
S: 0.0840 0.7500 0.4626  3 Tm 2.69-2.82, 2 Nd 2.87
S: 0.1265 0.2500 0.6641  1 Tm 2.67, 2 Nd 2.93
S: 0.2064 0.7500 0.1352  1 Tm 2.63, 4 Nd 2.83-2.90
S: 0.2506 0.7500 0.3265  1 Tm 2.74, 4 Nd 2.83-2.91
S: 0.2532 0.2500 0.8228  2 Tm 2.57-2.62, 2 Nd 2.84
S: 0.3430 0.7500 0.5996  4 Tm 2.72-2.80, 1 Nd 2.97
S: 0.3548 0.7500 0.9854  3 Tm 2.67-2.73, 2 Nd 2.91
S: 0.3611 0.2500 0.4644  4 Tm 2.68-2.88
S: 0.4547 0.2500 0.1360  2 Tm 2.58, 1 Nd 2.87
S: 0.4964 0.2500 0.7195  1 Tm 2.86, 4 Nd 2.90-2.91, 1 S 3.09

Properties
**Raw total energy**: -271.09 eV for the cell shown

=====

[8]
# Nd4Tm11S22

A relaxed Nd4Tm11S22 crystal (GGA-PBEsol, the Alexandria database).

a = 38.3204 Å, b = 3.8647 Å, c = 11.1544 Å
α = 90.00°, β = 91.63°, γ = 90.00°
Closest atoms and distances in Å follow each position.
Space group C2/m (No. 12)
Asymmetric unit:
Nd: 0.1047 0.0000 0.0127  8 S 2.86-2.98
Nd: 0.1321 0.5000 0.6487  8 S 2.86-3.19
Tm: 0.0000 0.0000 0.0000  6 S 2.67-2.69
Tm: 0.0384 0.5000 0.7313  6 S 2.60-2.71
Tm: 0.0706 0.0000 0.3593  6 S 2.62-2.70
Tm: 0.1581 0.5000 0.3002  6 S 2.60-2.72
Tm: 0.2023 0.0000 0.9408  7 S 2.65-2.83
Tm: 0.2356 0.5000 0.6476  6 S 2.61-2.70
S: 0.0084 0.0000 0.2398  4 Tm 2.66-2.70
S: 0.0472 0.5000 0.9710  3 Tm 2.67-2.69, 2 Nd 2.96
S: 0.0580 0.5000 0.5099  3 Tm 2.60-2.62
S: 0.0876 0.0000 0.7557  2 Tm 2.71, 3 Nd 2.86-2.92
S: 0.0928 0.5000 0.2111  3 Tm 2.66-2.70, 2 Nd 2.98
S: 0.1359 0.0000 0.4519  3 Tm 2.68-2.72, 2 Nd 2.93
S: 0.1499 0.5000 0.9058  2 Tm 2.81, 3 Nd 2.88-2.93
S: 0.1691 0.0000 0.1498  3 Tm 2.60-2.69, 1 Nd 2.86
S: 0.1883 0.0000 0.6906  3 Tm 2.70-2.83, 2 Nd 2.92
S: 0.2201 0.5000 0.4095  4 Tm 2.64-2.70
S: 0.2456 0.5000 0.8798  4 Tm 2.61-2.79

Properties
**Raw total energy**: -500.72 eV for the cell shown

=====

What is the raw total energy in the eighth record? -500.72 eV for the cell shown

=====

The highest raw total energy belongs to which entry? NdScS3

=====

Which formula does entry 6 have? Nd2ThS5